# LaWO6 (PBE+U, relaxed)
data_LaWO6
_chemical_formula_sum 'La1 W1 O6'
_cell_length_a 6.1509
_cell_length_b 6.1509
_cell_length_c 6.1509
_cell_angle_alpha 60.00
_cell_angle_beta 60.00
_cell_angle_gamma 60.00
_symmetry_space_group_name_H-M 'P 1'
_symmetry_Int_Tables_number 1
loop_
_symmetry_equiv_pos_as_xyz
'x,y,z'
loop_
_atom_site_label
_atom_site_fract_x
_atom_site_fract_y
_atom_site_fract_z
_atom_site_occupancy
La1 0.0000 0.0000 0.0000 1
W1 0.5000 0.5000 0.5000 1
O1 0.2783 0.2783 0.7217 1
O2 0.2783 0.7217 0.2783 1
O3 0.2783 0.7217 0.7217 1
O4 0.7217 0.2783 0.2783 1
O5 0.7217 0.2783 0.7217 1
O6 0.7217 0.7217 0.2783 1
# Total magnetic moment = 3.0 Bohr magnetons per cell
# Total DFT energy (no corrections) = -55.60 eV/f.u.
# DOS(E_F) = 3.10 states/eV/cell
# SG = Fm-3m, No. 225